Compound: ZrMnV
Source: Alexandria
Functional: PBE
Structure: optimized geometry

Its formation enthalpy at 0 K is -173 meV/atom. For the total magnetization, the calculation gives 0.000 μB per atom. The distance to the lowest polymorph of the same formula is 0 meV per atom.

It has space group Imma (No. 74), with a = 5.062 Å, b = 5.179 Å, c = 7.083 Å, α = 90.00°, β = 90.00° and γ = 90.00°. The asymmetric unit holds Zr at (0.000, 0.250, 0.122), Mn at (0.250, 0.250, 0.750) and V at (0.000, 0.000, 0.500).